Computed, not measured: an optimized crystal structure of ZnAg5 at the PBE level of DFT.

Unit cell a=7.734 b=7.734 c=7.734 alpha=90.00 beta=90.00 gamma=90.00
Space group F-43m (No. 216)
Symmetry-distinct sites (fractional):
Zn 0.000 0.000 0.000 (multiplicity 4)
Ag 0.125 0.125 0.625 (multiplicity 16)
Ag 0.250 0.250 0.250 (multiplicity 4)

**DOS at the Fermi energy**: 0.36 states/eV/atom
**VASP energy**: -14.3 eV per formula unit
**ΔH_f (0 K)**: 210 meV per atom
**Volume**: 116 Å³/f.u.
**Energy relative to the lowest polymorph listed for this composition**: 214.7 meV/atom

Computed, not measured: an optimized crystal structure of Ac2TmAg2O6 at the PBE level of DFT.

Unit cell a=6.3706 b=6.3706 c=16.6904 alpha=90.00 beta=90.00 gamma=120.00
Space group R-3m (No. 166, hexagonal axes)
Symmetry-distinct sites (fractional):
Ac 0.0000 0.0000 0.2040 (multiplicity 6)
Tm 0.0000 0.0000 0.0000 (multiplicity 3)
Ag 0.0000 0.0000 0.4132 (multiplicity 6)
O 0.0505 0.5252 0.7616 (multiplicity 18)

**DOS at the Fermi energy**: 0.93 states/eV/atom
**VASP energy**: -70.3 eV per formula unit
**Uncorrected formation energy**: -2018 meV/atom
**Volume**: 196 Å³/f.u.

Computed, not measured: an optimized crystal structure of TeAsW2 at the PBE level of DFT.

Unit cell a=5.545 b=9.003 c=3.555 alpha=90.00 beta=122.63 gamma=90.00
Space group C2/m (No. 12)
Symmetry-distinct sites (fractional):
Te 0.000 0.000 0.000 (multiplicity 2)
As 0.000 0.500 0.000 (multiplicity 2)
W 0.250 0.250 0.500 (multiplicity 4)

**DOS at the Fermi energy**: 0.70 states/eV/atom
**VASP energy**: -29.9 eV per formula unit
**Uncorrected formation energy**: 952 meV/atom
**Volume**: 75 Å³/f.u.
**Energy relative to the lowest polymorph listed for this composition**: 768.3 meV/atom

Number 1: magnetic moment 0.000 μB/atom. Number 2: magnetic moment 0.055 μB/atom. Number 3: magnetic moment 0.000 μB/atom.